# TlSe2O (PBE-GGA, optimized geometry)
data_TlSe2O
_symmetry_space_group_name_H-M 'I 41/a m d'
_symmetry_Int_Tables_number 141
_cell_length_a 5.7006
_cell_length_b 5.7006
_cell_length_c 12.5655
_cell_angle_alpha 90.00
_cell_angle_beta 90.00
_cell_angle_gamma 90.00
loop_
_symmetry_equiv_pos_as_xyz
'x,y,z'
'-x,-y,-z'
'-y+1/4,x+3/4,z+1/4'
'y+1/4,-x+3/4,-z+1/4'
'-x+1/2,-y,z+1/2'
'x+1/2,y,-z+1/2'
'y+1/4,-x+1/4,z+3/4'
'-y+1/4,x+1/4,-z+3/4'
'x,-y,-z'
'-x,y,z'
'-y+1/4,-x+1/4,-z+3/4'
'y+1/4,x+1/4,z+3/4'
'-x+1/2,y,-z+1/2'
'x+1/2,-y,z+1/2'
'y+1/4,x+3/4,-z+1/4'
'-y+1/4,-x+3/4,z+1/4'
'x+1/2,y+1/2,z+1/2'
'-x+1/2,-y+1/2,-z+1/2'
'-y+3/4,x+1/4,z+3/4'
'y+3/4,-x+1/4,-z+3/4'
'-x,-y+1/2,z'
'x,y+1/2,-z'
'y+3/4,-x+3/4,z+1/4'
'-y+3/4,x+3/4,-z+1/4'
'x+1/2,-y+1/2,-z+1/2'
'-x+1/2,y+1/2,z+1/2'
'-y+3/4,-x+3/4,-z+1/4'
'y+3/4,x+3/4,z+1/4'
'-x,y+1/2,-z'
'x,-y+1/2,z'
'y+3/4,x+1/4,-z+3/4'
'-y+3/4,-x+1/4,z+3/4'
loop_
_atom_site_label
_atom_site_type_symbol
_atom_site_fract_x
_atom_site_fract_y
_atom_site_fract_z
_atom_site_occupancy
Tl1 Tl 0.0000 0.2500 0.3750 1
Se1 Se 0.0000 0.0000 0.0000 1
O1 O 0.0000 0.2500 0.8750 1
# energy relative to the elements, uncorrected	-0.100	eV per atom
# energy	-58.781	eV per cell
# volume	102	Å³/f.u.
# M_tot	0.00	Bohr magnetons per cell
# energy relative to the lowest polymorph listed for this composition	0.000	eV per atom
# crystal system	tetragonal